*A*
TaNbW4 | Alexandria via LeMat-Bulk | PBE | optimized geometry; D(E_F) = 2.50 states/eV/f.u.; SG = No. 12; size of the total moment = 0.00 μB/cell
1.0
-0.040 -2.924 1.340
2.200 0.429 4.862
-4.621 1.917 4.046
Ta W Nb
1 4 1
Cartesian
1.062 -1.248 3.087
-1.277 -0.792 7.872
-3.534 1.171 4.367
1.036 -1.749 5.853
-1.221 0.214 2.348
-1.249 -0.289 5.110

*B*
TaNbW4 | Alexandria via LeMat-Bulk | PBE | optimized geometry; D(E_F) = 4.05 states/eV/f.u.; SG = No. 216; size of the total moment = 0.00 μB/cell
1.0
-1.486 -2.506 -4.436
3.117 -3.746 -2.103
-1.472 -5.095 0.197
W Ta Nb
4 1 1
Cartesian
0.099 -7.092 -3.963
0.842 -5.839 -1.745
0.835 -4.544 -4.062
-1.459 -5.219 -2.912
0.000 0.000 0.000
0.040 -2.837 -1.585

*C*
TaNbW4 | Alexandria via LeMat-Bulk | PBE | optimized geometry; D(E_F) = 2.96 states/eV/f.u.; SG = No. 164; size of the total moment = 0.00 μB/cell
1.0
4.549 0.000 0.000
2.274 3.669 -1.436
2.274 -1.630 6.636
W Ta Nb
4 1 1
Cartesian
4.549 2.792 -0.075
6.823 0.141 3.956
4.549 -0.753 5.275
2.274 1.898 1.244
4.549 1.020 2.600
0.000 0.000 0.000

Which one is the least stable? From the structures above, *B*.